Density functional theory data (GGA-PBE) for crystalline AcCeCo2 at its relaxed geometry.

The formation energy comes out at -132.8 meV per atom. For the energy above the lowest structure with this stoichiometry, the calculation gives 0 meV per atom. As for the theoretical density: 9.037 Mg/m³.

The structure belongs to space group R-3m (No. 166, hexagonal axes); the cell edges are 4.2809, 4.2809 and 16.8444 Å and the angles 90.00°, 90.00° and 120.00°. Symmetry generates all atoms from Ac at (0.0000, 0.0000, 0.0000), Ce at (0.0000, 0.0000, 0.5000) and Co at (0.0000, 0.0000, 0.2047).

=====

Density functional theory data (GGA-PBE) for crystalline TlFeAgI5 at its relaxed geometry.

The uncorrected formation energy comes out at -0.2960 eV/atom. As for the theoretical density: 5.053 Mg/m³.

The structure belongs to space group C2/c (No. 15); the cell edges are 10.427, 13.531 and 10.013 Å and the angles 90.00°, 111.10° and 90.00°. Symmetry generates all atoms from Tl at (0.000, 0.161, 0.250), Fe at (0.000, 0.169, 0.750), Ag at (0.000, 0.500, 0.000), I at (0.000, 0.416, 0.250), I at (0.126, 0.279, 0.628) and I at (0.170, 0.059, 0.941).

=====

Density functional theory data (GGA-PBE) for crystalline Sr2CrW at its relaxed geometry.

The formation energy comes out at 1514.6 meV per atom. For the energy above the lowest structure with this stoichiometry, the calculation gives 827 meV per atom. As for the theoretical density: 7.586 Mg/m³.

The structure belongs to space group P4/mmm (No. 123); the cell edges are 2.908, 2.908 and 10.642 Å and the angles 90.00°, 90.00° and 90.00°. Symmetry generates all atoms from Sr at (0.000, 0.000, 0.245), Cr at (0.500, 0.500, 0.000) and W at (0.500, 0.500, 0.500).

=====

Density functional theory data (GGA-PBE) for crystalline Er8As4Se3S at its relaxed geometry.

The uncorrected formation energy comes out at -1.6922 eV/atom. As for the theoretical density: 8.458 Mg/m³.

The structure belongs to space group R-3m (No. 166, hexagonal axes); the cell edges are 8.0918, 8.0918 and 19.8050 Å and the angles 90.00°, 90.00° and 120.00°. Symmetry generates all atoms from Er at (0.0000, 0.0000, 0.2460), Er at (0.0052, 0.5026, 0.7527), As at (0.0000, 0.0000, 0.5000), As at (0.0000, 0.5000, 0.5000), Se at (0.0000, 0.5000, 0.0000) and S at (0.0000, 0.0000, 0.0000).

=====

Density functional theory data (GGA-PBE) for crystalline Dy4Ho2In at its relaxed geometry.

The formation energy comes out at -37.9 meV per atom. For the energy above the lowest structure with this stoichiometry, the calculation gives 0 meV per atom. As for the theoretical density: 8.378 Mg/m³.

The structure belongs to space group Fdd2 (No. 43); the cell edges are 10.144, 21.763 and 7.862 Å and the angles 90.00°, 90.00° and 90.00°. Symmetry generates all atoms from Dy at (0.012, 0.419, 0.000), Dy at (0.037, 0.116, 0.079), Ho at (0.035, 0.238, 0.423) and In at (0.000, 0.000, 0.845).

=====

Density functional theory data (GGA-PBE) for crystalline FePd8Au2 at its relaxed geometry.

The formation energy comes out at -76.5 meV per atom. For the energy above the lowest structure with this stoichiometry, the calculation gives 0 meV per atom. As for the theoretical density: 12.564 Mg/m³.

The structure belongs to space group C2/m (No. 12); the cell edges are 14.266, 3.982 and 6.287 Å and the angles 90.00°, 105.62° and 90.00°. Symmetry generates all atoms from Fe at (0.000, 0.000, 0.000), Pd at (0.043, 0.500, 0.730), Pd at (0.087, 0.000, 0.442), Pd at (0.131, 0.500, 0.171), Pd at (0.177, 0.000, 0.908) and Au at (0.226, 0.500, 0.639).

=====

Density functional theory data (GGA-PBE) for crystalline AcMgPdAu at its relaxed geometry.

The formation energy comes out at -761.9 meV per atom. For the energy above the lowest structure with this stoichiometry, the calculation gives 0 meV per atom. As for the theoretical density: 9.449 Mg/m³.

The structure belongs to space group Cm (No. 8); the cell edges are 8.091, 4.670 and 5.818 Å and the angles 90.00°, 117.52° and 90.00°. Symmetry generates all atoms from Ac at (0.000, 0.000, 0.000), Mg at (0.496, 0.000, 0.487), Pd at (0.289, 0.500, 0.365) and Au at (0.211, 0.000, 0.632).

=====

Density functional theory data (GGA-PBE) for crystalline Ho3ErFe at its relaxed geometry.

The formation energy comes out at 34.1 meV per atom. For the energy above the lowest structure with this stoichiometry, the calculation gives 0 meV per atom. As for the theoretical density: 8.923 Mg/m³.

The structure belongs to space group Pnma (No. 62); the cell edges are 10.727, 3.686 and 13.516 Å and the angles 90.00°, 90.00° and 90.00°. Symmetry generates all atoms from Ho at (0.034, 0.250, 0.100), Ho at (0.061, 0.750, 0.328), Ho at (0.200, 0.750, 0.748), Er at (0.207, 0.250, 0.508) and Fe at (0.170, 0.250, 0.901).

=====

Density functional theory data (GGA-PBE) for crystalline Rb3Na5Hg2 at its relaxed geometry.

The formation energy comes out at -97.0 meV per atom. For the energy above the lowest structure with this stoichiometry, the calculation gives 0 meV per atom. As for the theoretical density: 2.875 Mg/m³.

The structure belongs to space group P4/mbm (No. 127); the cell edges are 13.348, 13.348 and 5.008 Å and the angles 90.00°, 90.00° and 90.00°. Symmetry generates all atoms from Rb at (0.000, 0.000, 0.000), Rb at (0.174, 0.326, 0.000), Na at (0.000, 0.500, 0.500), Na at (0.074, 0.763, 0.500) and Hg at (0.117, 0.617, 0.000).

=====

Density functional theory data (GGA-PBE) for crystalline VGaNiPd at its relaxed geometry.

The formation energy comes out at -248.4 meV per atom. As for the theoretical density: 8.715 Mg/m³.

The structure belongs to space group F-43m (No. 216); the cell edges are 6.017, 6.017 and 6.017 Å and the angles 90.00°, 90.00° and 90.00°. Symmetry generates all atoms from V at (0.000, 0.000, 0.000), Ga at (0.000, 0.000, 0.500), Ni at (0.250, 0.250, 0.750) and Pd at (0.250, 0.250, 0.250).

=====

Density functional theory data (GGA-PBE) for crystalline SiMoAu2 at its relaxed geometry.

The uncorrected formation energy comes out at 0.2908 eV/atom. As for the theoretical density: 12.960 Mg/m³.

The structure belongs to space group R-3m (No. 166, hexagonal axes); the cell edges are 2.9145, 2.9145 and 27.0632 Å and the angles 90.00°, 90.00° and 120.00°. Symmetry generates all atoms from Si at (0.0000, 0.0000, 0.0000), Mo at (0.0000, 0.0000, 0.5000) and Au at (0.0000, 0.0000, 0.2531).

=====

Density functional theory data (GGA-PBE) for crystalline Sr2Li5Mg12 at its relaxed geometry.

The formation energy comes out at -51.1 meV per atom. As for the theoretical density: 1.751 Mg/m³.

The structure belongs to space group R-3m (No. 166, hexagonal axes); the cell edges are 10.4606, 10.4606 and 15.0583 Å and the angles 90.00°, 90.00° and 120.00°. Symmetry generates all atoms from Sr at (0.0000, 0.0000, 0.1530), Li at (0.0000, 0.0000, 0.4049), Li at (0.0000, 0.5000, 0.0000), Mg at (0.0000, 0.2946, 0.5000) and Mg at (0.0097, 0.5048, 0.3476).

=====

Looking at size of the total moment for the records above, in order, we have 0.00 5.01 0.00 0.00 0.00 5.42 0.00 0.10 0.00 0.00 0.00 0.00 μB/f.u..
Looking at raw total energy for the records above, in order, we have -6.196 -2.975 -4.970 -6.047 -4.367 -5.218 -4.305 -5.318 -1.107 -6.028 -5.411 -1.739 eV/atom.